# Pr5Sc3

A geometry-optimized Pr5Sc3 structure (GGA-PBE, Alexandria).

energy relative to the elements = 0.063 eV per atom
final energy = -5.298 eV/atom

a = 3.6116 Å, b = 3.6116 Å, c = 19.4065 Å
α = 90.00°, β = 90.00°, γ = 90.00°
Last column: nearest neighbours and their distance in Å.
Sites, in units of the cell vectors:
Sc 0.0000 0.0000 0.5000  8 Pr 3.48, 4 Sc 3.61
Sc 0.5000 0.5000 0.1184  8 Pr 3.43-3.47, 4 Sc 3.61
Sc 0.5000 0.5000 0.8816  8 Pr 3.43-3.47, 4 Sc 3.61
Pr 0.0000 0.0000 0.0000  8 Sc 3.43, 4 Pr 3.61
Pr 0.5000 0.5000 0.3781  4 Sc 3.48, 8 Pr 3.61-3.71
Pr 0.0000 0.0000 0.7605  4 Sc 3.47, 8 Pr 3.61-3.71
Pr 0.5000 0.5000 0.6219  4 Sc 3.48, 8 Pr 3.61-3.71
Pr 0.0000 0.0000 0.2395  4 Sc 3.47, 8 Pr 3.61-3.71

***

# PrSc2

A geometry-optimized PrSc2 structure (GGA-PBE, Alexandria).

energy relative to the elements = 0.229 eV per atom
energy relative to the lowest polymorph listed for this composition = 0.159 eV/atom
final energy = -5.585 eV/atom

a = 6.3779 Å, b = 6.3779 Å, c = 6.3779 Å
α = 60.00°, β = 60.00°, γ = 60.00°
Last column: nearest neighbours and their distance in Å.
Sites, in units of the cell vectors:
Sc 0.6250 0.6250 0.1250  6 Sc 3.19
Sc 0.6250 0.6250 0.6250  6 Sc 3.19
Sc 0.6250 0.1250 0.6250  6 Sc 3.19
Sc 0.1250 0.6250 0.6250  6 Sc 3.19
Pr 0.2500 0.2500 0.2500  12 Sc 3.74, 4 Pr 3.91
Pr 0.0000 0.0000 0.0000  12 Sc 3.74, 4 Pr 3.91

***

# PrSc3

A geometry-optimized PrSc3 structure (GGA-PBE, Alexandria).

energy relative to the elements = 0.070 eV per atom
energy relative to the lowest polymorph listed for this composition = 0.024 eV/atom
final energy = -5.874 eV/atom

a = 4.8558 Å, b = 4.8558 Å, c = 5.7399 Å
α = 115.02°, β = 115.02°, γ = 90.00°
Last column: nearest neighbours and their distance in Å.
Sites, in units of the cell vectors:
Sc 0.2500 0.7500 0.5000  4 Pr 3.34, 8 Sc 3.34-3.43
Sc 0.7500 0.2500 0.5000  4 Pr 3.34, 8 Sc 3.34-3.43
Sc 0.5000 0.5000 0.0000  8 Sc 3.34, 4 Pr 3.43
Pr 0.0000 0.0000 0.0000  12 Sc 3.34-3.43

***

# Pr4Sc

A geometry-optimized Pr4Sc structure (GGA-PBE, Alexandria).

energy relative to the elements = 0.535 eV per atom
energy relative to the lowest polymorph listed for this composition = 0.494 eV/atom
final energy = -4.555 eV/atom

a = 5.7643 Å, b = 5.7643 Å, c = 5.7643 Å
α = 90.00°, β = 90.00°, γ = 90.00°
Last column: nearest neighbours and their distance in Å.
Sites, in units of the cell vectors:
Pr 0.0000 0.5000 0.5000  2 Sc 2.88
Pr 0.0000 0.0000 0.0000  12 Pr 4.08
Pr 0.5000 0.5000 0.0000  2 Sc 2.88
Pr 0.5000 0.0000 0.5000  2 Sc 2.88
Sc 0.5000 0.5000 0.5000  6 Pr 2.88

***

# Pr4Sc

A geometry-optimized Pr4Sc structure (GGA-PBE, Alexandria).

energy relative to the elements = 0.041 eV per atom
energy relative to the lowest polymorph listed for this composition = 0.000 eV/atom
final energy = -5.049 eV/atom

a = 3.6644 Å, b = 3.6644 Å, c = 12.8226 Å
α = 98.21°, β = 98.21°, γ = 90.00°
Last column: nearest neighbours and their distance in Å.
Sites, in units of the cell vectors:
Pr 0.8034 0.8034 0.6068  12 Pr 3.66-3.73
Pr 0.5918 0.5918 0.1835  4 Sc 3.47, 8 Pr 3.66-3.69
Pr 0.4082 0.4082 0.8165  4 Sc 3.47, 8 Pr 3.66-3.69
Pr 0.1966 0.1966 0.3932  12 Pr 3.66-3.73
Sc 0.0000 0.0000 0.0000  8 Pr 3.47, 4 Sc 3.66

***

# PrSc3

A geometry-optimized PrSc3 structure (GGA-PBE, Alexandria).

energy relative to the elements = 0.046 eV per atom
energy relative to the lowest polymorph listed for this composition = 0.000 eV/atom
final energy = -5.897 eV/atom

a = 6.8022 Å, b = 6.8022 Å, c = 9.0406 Å
α = 67.90°, β = 67.90°, γ = 60.00°
Last column: nearest neighbours and their distance in Å.
Sites, in units of the cell vectors:
Pr 0.7795 0.7795 0.6616  12 Sc 3.35-3.40
Pr 0.0000 0.0000 0.0000  12 Sc 3.38-3.40
Pr 0.2205 0.2205 0.3384  12 Sc 3.35-3.40
Sc 0.7177 0.7177 0.3328  8 Sc 3.31-3.50, 4 Pr 3.35-3.40
Sc 0.5000 0.0000 0.0000  8 Sc 3.33-3.40, 4 Pr 3.38-3.40
Sc 0.7177 0.2318 0.3328  8 Sc 3.31-3.50, 4 Pr 3.35-3.40
Sc 0.2318 0.7177 0.3328  8 Sc 3.31-3.50, 4 Pr 3.35-3.40
Sc 0.7682 0.2823 0.6672  8 Sc 3.31-3.50, 4 Pr 3.35-3.40
Sc 0.2823 0.7682 0.6672  8 Sc 3.31-3.50, 4 Pr 3.35-3.40
Sc 0.5000 0.5000 0.0000  8 Sc 3.33-3.40, 4 Pr 3.38-3.40
Sc 0.0000 0.5000 0.0000  8 Sc 3.33-3.40, 4 Pr 3.38-3.40
Sc 0.2823 0.2823 0.6672  8 Sc 3.31-3.50, 4 Pr 3.35-3.40

***

# PrSc6

A geometry-optimized PrSc6 structure (GGA-PBE, Alexandria).

energy relative to the elements = 1.221 eV per atom
energy relative to the lowest polymorph listed for this composition = 0.970 eV/atom
final energy = -4.889 eV/atom

a = 6.3802 Å, b = 6.3802 Å, c = 6.3802 Å
α = 109.47°, β = 109.47°, γ = 109.47°
Last column: nearest neighbours and their distance in Å.
Sites, in units of the cell vectors:
Sc 0.7500 0.5000 0.2500  4 Sc 2.60
Sc 0.5000 0.2500 0.7500  4 Sc 2.60
Sc 0.5000 0.7500 0.2500  4 Sc 2.60
Sc 0.2500 0.7500 0.5000  4 Sc 2.60
Sc 0.7500 0.2500 0.5000  4 Sc 2.60
Sc 0.2500 0.5000 0.7500  4 Sc 2.60
Pr 0.0000 0.0000 0.0000  24 Sc 4.12

***

# PrSc6

A geometry-optimized PrSc6 structure (GGA-PBE, Alexandria).

energy relative to the elements = 0.251 eV per atom
energy relative to the lowest polymorph listed for this composition = 0.000 eV/atom
final energy = -5.859 eV/atom

a = 6.0807 Å, b = 6.0807 Å, c = 10.3091 Å
α = 90.00°, β = 90.00°, γ = 90.00°
Last column: nearest neighbours and their distance in Å.
Sites, in units of the cell vectors:
Pr 0.5000 0.0000 0.0000  8 Sc 3.40
Pr 0.0000 0.5000 0.0000  8 Sc 3.40
Sc 0.0000 0.0000 0.1469  5 Sc 3.03-3.20
Sc 0.1684 0.6684 0.6340  8 Sc 2.90-3.20
Sc 0.0000 0.0000 0.8531  5 Sc 3.03-3.20
Sc 0.3316 0.8316 0.3660  8 Sc 2.90-3.20
Sc 0.8316 0.6684 0.3660  8 Sc 2.90-3.20
Sc 0.1684 0.3316 0.3660  8 Sc 2.90-3.20
Sc 0.3316 0.1684 0.6340  8 Sc 2.90-3.20
Sc 0.6684 0.8316 0.6340  8 Sc 2.90-3.20
Sc 0.5000 0.5000 0.1469  5 Sc 3.03-3.20
Sc 0.6684 0.1684 0.3660  8 Sc 2.90-3.20
Sc 0.5000 0.5000 0.8531  5 Sc 3.03-3.20
Sc 0.8316 0.3316 0.6340  8 Sc 2.90-3.20

***

# PrSc

A geometry-optimized PrSc structure (GGA-PBE, Alexandria).

energy relative to the elements = 0.086 eV per atom
energy relative to the lowest polymorph listed for this composition = 0.015 eV/atom
final energy = -5.469 eV/atom

a = 3.5312 Å, b = 5.6455 Å, c = 6.0111 Å
α = 90.00°, β = 89.99°, γ = 90.00°
Last column: nearest neighbours and their distance in Å.
Sites, in units of the cell vectors:
Sc 0.2502 0.2500 0.4199  6 Pr 3.45-3.52, 6 Sc 3.47-3.53
Sc 0.7498 0.7500 0.5801  6 Pr 3.45-3.52, 6 Sc 3.47-3.53
Pr 0.2498 0.7500 0.0868  6 Sc 3.45-3.52, 6 Pr 3.49-3.53
Pr 0.7502 0.2500 0.9132  6 Sc 3.45-3.52, 6 Pr 3.49-3.53

***

# Pr3Sc

A geometry-optimized Pr3Sc structure (GGA-PBE, Alexandria).

energy relative to the elements = 0.137 eV per atom
energy relative to the lowest polymorph listed for this composition = 0.098 eV/atom
final energy = -5.031 eV/atom

a = 5.7225 Å, b = 5.7225 Å, c = 5.7225 Å
α = 60.00°, β = 60.00°, γ = 60.00°
Last column: nearest neighbours and their distance in Å.
Sites, in units of the cell vectors:
Pr 0.7500 0.7500 0.7500  4 Sc 3.50, 4 Pr 3.50
Pr 0.0000 0.0000 0.0000  8 Pr 3.50
Pr 0.2500 0.2500 0.2500  4 Pr 3.50, 4 Sc 3.50
Sc 0.5000 0.5000 0.5000  8 Pr 3.50

***

# PrSc

A geometry-optimized PrSc structure (GGA-PBE, Alexandria).

energy relative to the elements = 0.072 eV per atom
energy relative to the lowest polymorph listed for this composition = 0.000 eV/atom
final energy = -5.484 eV/atom

a = 3.9142 Å, b = 3.9142 Å, c = 3.9142 Å
α = 90.00°, β = 90.00°, γ = 90.00°
Last column: nearest neighbours and their distance in Å.
Sites, in units of the cell vectors:
Sc 0.5000 0.5000 0.5000  8 Pr 3.39
Pr 0.0000 0.0000 0.0000  8 Sc 3.39

***

# Pr5ScSe6

A geometry-optimized Pr5ScSe6 structure (GGA-PBE, Alexandria).

final energy = -6.046 eV/atom

a = 7.2823 Å, b = 7.2823 Å, c = 7.2948 Å
α = 99.59°, β = 99.59°, γ = 120.12°
Last column: nearest neighbours and their distance in Å.
Sites, in units of the cell vectors:
Se 0.7677 0.7677 0.2450  1 Sc 2.84, 5 Pr 3.01-3.11
Se 0.9222 0.6077 0.7642  1 Sc 2.80, 5 Pr 2.98-3.06
Se 0.2323 0.2323 0.7550  1 Sc 2.84, 5 Pr 3.01-3.11
Se 0.0778 0.3923 0.2358  1 Sc 2.80, 5 Pr 2.98-3.06
Se 0.3923 0.0778 0.2358  1 Sc 2.80, 5 Pr 2.98-3.06
Se 0.6077 0.9222 0.7642  1 Sc 2.80, 5 Pr 2.98-3.06
Pr 0.8239 0.1761 0.5000  6 Se 2.98-3.06
Pr 0.1761 0.8239 0.5000  6 Se 2.98-3.06
Pr 0.6664 0.3336 0.0000  6 Se 2.98-3.01
Pr 0.3336 0.6664 0.0000  6 Se 2.98-3.01
Pr 0.5000 0.5000 0.5000  6 Se 2.98-3.11
Sc 0.0000 0.0000 0.0000  6 Se 2.80-2.84

***

Q: The highest final energy belongs to which entry?
A: number 4